Entry 1:
Compound: LiLa4Pt2
Source: Alexandria
Functional: GGA-PBE
Structure: optimized geometry

Cell lengths 9.6962, 9.6962, 9.6962 Å; angles 30.13, 30.13, 30.13 degrees
Closest atoms and distances in Å follow each position.
Fractional coordinates of all 7 atoms:
Li1 0.0000 0.0000 0.0000  2 Pt 2.61
La1 0.2077 0.2077 0.2077  4 Pt 3.04-3.15
La2 0.3838 0.3838 0.3838  3 Pt 3.15, 3 Li 3.23
La3 0.6162 0.6162 0.6162  3 Pt 3.15, 3 Li 3.23
La4 0.7923 0.7923 0.7923  4 Pt 3.04-3.15
Pt1 0.0941 0.0941 0.0941  1 Li 2.61
Pt2 0.9059 0.9059 0.9059  1 Li 2.61

Crystal system: trigonal
Fermi-level density of states in states/eV/atom: 1.127
Calculated formation energy in eV per atom: -0.62
Volume in Å³/cell: 203.4

Entry 2:
Compound: Li2LaPt4
Source: Alexandria
Functional: GGA-PBE
Structure: optimized geometry

Cell lengths 6.9535, 6.9535, 5.1289 Å; angles 90.00, 90.00, 90.00 degrees
Closest atoms and distances in Å follow each position.
Fractional coordinates of all 14 atoms:
Li1 0.0000 0.5000 0.2500  2 Li 2.56, 8 Pt 2.82
Li2 0.0000 0.5000 0.7500  2 Li 2.56, 8 Pt 2.82
Li3 0.5000 0.0000 0.2500  2 Li 2.56, 8 Pt 2.82
Li4 0.5000 0.0000 0.7500  2 Li 2.56, 8 Pt 2.82
La1 0.0000 0.0000 0.0000  12 Pt 2.94-3.24
La2 0.5000 0.5000 0.5000  12 Pt 2.94-3.24
Pt1 0.2006 0.2006 0.5000  4 Pt 2.74-2.79, 4 Li 2.82, 1 La 2.94
Pt2 0.2006 0.7994 0.5000  4 Pt 2.74-2.79, 4 Li 2.82, 1 La 2.94
Pt3 0.2994 0.2994 0.0000  4 Pt 2.74-2.79, 4 Li 2.82, 1 La 2.94
Pt4 0.2994 0.7006 0.0000  4 Pt 2.74-2.79, 4 Li 2.82, 1 La 2.94
Pt5 0.7006 0.2994 0.0000  4 Pt 2.74-2.79, 4 Li 2.82, 1 La 2.94
Pt6 0.7006 0.7006 0.0000  4 Pt 2.74-2.79, 4 Li 2.82, 1 La 2.94
Pt7 0.7994 0.2006 0.5000  4 Pt 2.74-2.79, 4 Li 2.82, 1 La 2.94
Pt8 0.7994 0.7994 0.5000  4 Pt 2.74-2.79, 4 Li 2.82, 1 La 2.94

Crystal system: tetragonal
Fermi-level density of states in states/eV/atom: 0.807
Calculated formation energy in eV per atom: -0.66
Volume in Å³/cell: 248.0

Entry 3:
Compound: LiLa2Pt
Source: Alexandria
Functional: GGA-PBE
Structure: optimized geometry

Cell lengths 4.0300, 4.6173, 6.0098 Å; angles 90.00, 109.47, 90.00 degrees
Closest atoms and distances in Å follow each position.
Fractional coordinates of all 4 atoms:
Li1 0.0000 0.0000 0.0000  2 Pt 2.70
La1 0.4236 0.5000 0.8479  2 Pt 3.03, 4 Li 3.18-3.19
La2 0.7047 0.0000 0.4116  3 Li 3.08-3.33, 4 Pt 3.20
Pt1 0.1228 0.5000 0.2472  2 Li 2.70

Crystal system: monoclinic
Fermi-level density of states in states/eV/atom: 0.963
Calculated formation energy in eV per atom: -0.54
Volume in Å³/cell: 105.4

Entry 4:
Compound: LiLaPt3
Source: Alexandria
Functional: GGA-PBE
Structure: optimized geometry

Cell lengths 6.5114, 6.5114, 6.5114 Å; angles 129.55, 108.95, 92.21 degrees
Closest atoms and distances in Å follow each position.
Fractional coordinates of all 10 atoms:
Li1 0.0000 0.0000 0.0000  6 Pt 2.53-2.68
Li2 0.5000 0.0000 0.5000  6 Pt 2.53-2.68
La1 0.2517 0.5017 0.7500  5 Pt 2.84-3.02
La2 0.7483 0.4983 0.2500  5 Pt 2.84-3.02
Pt1 0.0633 0.8133 0.2500  2 Li 2.53, 4 Pt 2.76
Pt2 0.3067 0.0000 0.8067  2 Li 2.68, 5 Pt 2.76-2.93
Pt3 0.3067 0.5000 0.3067  2 Li 2.68, 5 Pt 2.76-2.93
Pt4 0.6933 0.0000 0.1933  2 Li 2.68, 5 Pt 2.76-2.93
Pt5 0.6933 0.5000 0.6933  2 Li 2.68, 5 Pt 2.76-2.93
Pt6 0.9367 0.1867 0.7500  2 Li 2.53, 4 Pt 2.76

Crystal system: orthorhombic
Fermi-level density of states in states/eV/atom: 0.327
Energy above the most stable polymorph in this dataset in meV/atom: 0.0
Calculated formation energy in eV per atom: -0.77
Volume in Å³/cell: 189.6

Entry 5:
Compound: LiLa4Pt
Source: Alexandria
Functional: GGA-PBE
Structure: optimized geometry

Cell lengths 9.3211, 9.3211, 6.7818 Å; angles 100.26, 100.26, 132.56 degrees
Closest atoms and distances in Å follow each position.
Fractional coordinates of all 12 atoms:
Li1 0.0875 0.9125 0.7500  6 La 3.12-3.36
Li2 0.9125 0.0875 0.2500  6 La 3.12-3.36
La1 0.0737 0.5165 0.2827  1 Pt 3.06, 1 Li 3.12, 1 La 3.29
La2 0.2082 0.3506 0.7951  2 Pt 2.78-3.02
La3 0.3506 0.2082 0.2951  2 Pt 2.78-3.02
La4 0.4835 0.9263 0.2173  1 Pt 3.06, 1 Li 3.12, 1 La 3.29
La5 0.5165 0.0737 0.7827  1 Pt 3.06, 1 Li 3.12, 1 La 3.29
La6 0.6494 0.7918 0.7049  2 Pt 2.78-3.02
La7 0.7918 0.6494 0.2049  2 Pt 2.78-3.02
La8 0.9263 0.4835 0.7173  1 Pt 3.06, 1 Li 3.12, 1 La 3.29
Pt1 0.4296 0.5704 0.2500  6 La 2.78-3.06
Pt2 0.5704 0.4296 0.7500  6 La 2.78-3.06

Crystal system: monoclinic
Fermi-level density of states in states/eV/atom: 1.305
Energy above the most stable polymorph in this dataset in meV/atom: 0.0
Calculated formation energy in eV per atom: -0.24
Volume in Å³/cell: 389.1

Entry 6:
Compound: LiLa2Pt
Source: Alexandria
Functional: GGA-PBE
Structure: optimized geometry

Cell lengths 8.3231, 8.3231, 6.6122 Å; angles 90.00, 90.00, 90.00 degrees
Closest atoms and distances in Å follow each position.
Fractional coordinates of all 16 atoms:
Li1 0.0000 0.0000 0.0000  4 La 3.29, 2 Pt 3.31
Li2 0.0000 0.5000 0.2500  4 La 3.29, 2 Pt 3.31
Li3 0.5000 0.0000 0.7500  4 La 3.29, 2 Pt 3.31
Li4 0.5000 0.5000 0.5000  4 La 3.29, 2 Pt 3.31
La1 0.2109 0.7500 0.6250  2 Pt 2.85
La2 0.2500 0.2109 0.3750  2 Pt 2.85
La3 0.2500 0.2891 0.8750  2 Pt 2.85
La4 0.2891 0.7500 0.1250  2 Pt 2.85
La5 0.7109 0.2500 0.1250  2 Pt 2.85
La6 0.7500 0.7109 0.8750  2 Pt 2.85
La7 0.7500 0.7891 0.3750  2 Pt 2.85
La8 0.7891 0.2500 0.6250  2 Pt 2.85
Pt1 0.0000 0.0000 0.5000  4 La 2.85
Pt2 0.0000 0.5000 0.7500  4 La 2.85
Pt3 0.5000 0.0000 0.2500  4 La 2.85
Pt4 0.5000 0.5000 0.0000  4 La 2.85

Crystal system: tetragonal
Fermi-level density of states in states/eV/atom: 1.473
Calculated formation energy in eV per atom: -0.33
Volume in Å³/cell: 458.1

Question: What is the calculated formation energy in the fifth record?
Answer: -0.24 eV per atom